Cs2Ag3F8: optimized geometry, GGA-PBE.

Properties
Formation energy without anion corrections, meV per atom: -1660.6
Energy above the lowest structure with this stoichiometry, meV per atom: 17
Total DFT energy (no corrections), eV per atom: -3.601

Unit cell a=7.377 b=7.377 c=6.814 alpha=105.46 beta=105.46 gamma=56.76
Positions (direct):
Cs1 0.212 0.212 0.174
Cs2 0.788 0.788 0.826
Ag1 0.250 0.750 0.500
Ag2 0.500 0.500 0.000
Ag3 0.750 0.250 0.500
F1 0.097 0.097 0.482
F2 0.210 0.615 0.094
F3 0.385 0.790 0.906
F4 0.407 0.407 0.545
F5 0.593 0.593 0.455
F6 0.615 0.210 0.094
F7 0.790 0.385 0.906
F8 0.903 0.903 0.518

=====

TaSb2Mo: optimized geometry, GGA-PBE.

Properties
Formation energy without anion corrections, meV per atom: 356.5
Total DFT energy (no corrections), eV per atom: -7.376

Unit cell a=4.746 b=4.746 c=5.608 alpha=101.52 beta=101.52 gamma=39.66
Positions (direct):
Ta1 0.000 0.000 0.000
Sb1 0.246 0.246 0.741
Sb2 0.754 0.754 0.259
Mo1 0.500 0.500 0.500